No. 1
First-principles (PBE) data for crystalline Y3Ho3BiSbOs at its relaxed geometry, as listed in OQMD.

Results
E_tot in eV/atom: -6.4666

abc: 8.2288 8.2288 4.2306
angles: 90.00 90.00 120.00
Space group P-6 (No. 174)
Unique sites:
Y: 0.0633 0.7233 0.0000 (multiplicity 3)
Ho: 0.4333 0.0980 0.5000 (multiplicity 3)
Bi: 0.0000 0.0000 0.5000 (multiplicity 1)
Sb: 0.3333 0.6667 0.5000 (multiplicity 1)
Os: 0.6667 0.3333 0.0000 (multiplicity 1)



No. 2
First-principles (PBE) data for crystalline LuRe2Au at its relaxed geometry, as listed in OQMD.

Results
ΔE_f in eV per atom: 0.198

abc: 6.5248 6.5248 6.5248
angles: 90.00 90.00 90.00
Space group F-43m (No. 216)
Unique sites:
Lu: 0.0000 0.0000 0.0000 (multiplicity 4)
Re: 0.0000 0.0000 0.5000 (multiplicity 4)
Re: 0.2500 0.2500 0.2500 (multiplicity 4)
Au: 0.2500 0.2500 0.7500 (multiplicity 4)



No. 3
First-principles (PBE) data for crystalline Cd3N2 at its relaxed geometry, as listed in OQMD.

Results
Polymorph energy (0 for the lowest one) in meV/atom: 77

abc: 3.3928 3.3928 13.8965
angles: 90.00 90.00 90.00
Space group I4/mmm (No. 139)
Unique sites:
Cd: 0.0000 0.0000 0.0000 (multiplicity 2)
Cd: 0.0000 0.0000 0.3301 (multiplicity 4)
N: 0.0000 0.0000 0.1514 (multiplicity 4)



Question: Which formula does entry 1 have?
Answer: Y3Ho3BiSbOs



Question: What is the formula in the third record?
Answer: Cd3N2



Copy entry 2 word for word.
First-principles (PBE) data for crystalline LuRe2Au at its relaxed geometry, as listed in OQMD.

Results
ΔE_f in eV per atom: 0.198

abc: 6.5248 6.5248 6.5248
angles: 90.00 90.00 90.00
Space group F-43m (No. 216)
Unique sites:
Lu: 0.0000 0.0000 0.0000 (multiplicity 4)
Re: 0.0000 0.0000 0.5000 (multiplicity 4)
Re: 0.2500 0.2500 0.2500 (multiplicity 4)
Au: 0.2500 0.2500 0.7500 (multiplicity 4)